The following is a DFT calculation (PBE) of a relaxed structure of Y4MgCd5.

Cell lengths 3.7109, 3.7109, 18.4530 Å; angles 90.00, 90.00, 90.00 degrees
Element x y z (fractional)
Y 0.0000 0.0000 0.3970
Y 0.0000 0.0000 0.6030
Y 0.0000 0.0000 0.1919
Y 0.0000 0.0000 0.8081
Cd 0.5000 0.5000 0.9120
Cd 0.5000 0.5000 0.5000
Cd 0.5000 0.5000 0.7047
Cd 0.5000 0.5000 0.2953
Cd 0.5000 0.5000 0.0880
Mg 0.0000 0.0000 0.0000

Calculated values
Total moment ... 0.006 μB per cell
DFT formation energy ... -0.31 eV per atom
Uncorrected energy ... -3.511 eV per atom

=====

The following is a DFT calculation (PBE) of a relaxed structure of Y3Mg4Cd4.

Cell lengths 3.4673, 4.9995, 15.8771 Å; angles 80.95, 83.70, 90.00 degrees
Element x y z (fractional)
Y 0.8609 0.3592 0.2816
Y 0.1391 0.6409 0.7184
Y 0.0000 0.0000 0.0000
Cd 0.4534 0.4529 0.0944
Cd 0.3177 0.8164 0.3673
Cd 0.6823 0.1836 0.6327
Cd 0.5467 0.5472 0.9056
Mg 0.5883 0.0919 0.8156
Mg 0.2641 0.2640 0.4725
Mg 0.4118 0.9081 0.1844
Mg 0.7359 0.7360 0.5275

Calculated values
Total moment ... 0.000 μB per cell
DFT formation energy ... -0.24 eV per atom
Uncorrected energy ... -2.912 eV per atom

=====

The following is a DFT calculation (PBE) of a relaxed structure of Y3Mg4Cd.

Cell lengths 3.7730, 3.7730, 14.6086 Å; angles 90.00, 90.00, 90.00 degrees
Element x y z (fractional)
Mg 0.0000 0.0000 0.3709
Mg 0.0000 0.0000 0.8918
Mg 0.0000 0.0000 0.1082
Mg 0.0000 0.0000 0.6291
Y 0.5000 0.5000 0.7562
Y 0.5000 0.5000 0.2438
Y 0.5000 0.5000 0.5000
Cd 0.5000 0.5000 0.0000

Calculated values
Total moment ... 0.000 μB per cell
DFT formation energy ... -0.12 eV per atom
Uncorrected energy ... -3.455 eV per atom

=====

The following is a DFT calculation (PBE) of a relaxed structure of Y2Mg2Cd15.

Cell lengths 7.6513, 7.6513, 7.6513 Å; angles 81.64, 81.64, 81.64 degrees
Element x y z (fractional)
Mg 0.1021 0.1021 0.1021
Mg 0.8979 0.8979 0.8979
Cd 0.6376 0.6376 0.1575
Cd 0.0000 0.2976 0.7024
Cd 0.7024 0.0000 0.2976
Cd 0.3624 0.3624 0.8425
Cd 0.2976 0.7024 0.0000
Cd 0.1575 0.6376 0.6376
Cd 0.2976 0.0000 0.7024
Cd 0.5000 0.0000 0.0000
Cd 0.7024 0.2976 0.0000
Cd 0.0000 0.7024 0.2976
Cd 0.3624 0.8425 0.3624
Cd 0.0000 0.5000 0.0000
Cd 0.6376 0.1575 0.6376
Cd 0.8425 0.3624 0.3624
Cd 0.0000 0.0000 0.5000
Y 0.3324 0.3324 0.3324
Y 0.6676 0.6676 0.6676

Calculated values
Total moment ... 0.000 μB per cell
DFT formation energy ... -0.12 eV per atom
Uncorrected energy ... -1.690 eV per atom

=====

The following is a DFT calculation (PBE) of a relaxed structure of YMg5Cd2.

Cell lengths 3.4065, 7.6821, 7.6821 Å; angles 76.25, 77.19, 77.19 degrees
Element x y z (fractional)
Mg 0.0000 0.5000 0.5000
Mg 0.6337 0.1423 0.5904
Mg 0.3663 0.4096 0.8577
Mg 0.3663 0.8577 0.4096
Mg 0.6337 0.5904 0.1423
Cd 0.2566 0.2434 0.2434
Cd 0.7434 0.7566 0.7566
Y 0.0000 0.0000 0.0000

Calculated values
Total moment ... 0.000 μB per cell
DFT formation energy ... -0.14 eV per atom
Uncorrected energy ... -2.172 eV per atom

=====

The following is a DFT calculation (PBE) of a relaxed structure of YMgCd4.

Cell lengths 4.0283, 4.0283, 9.9980 Å; angles 101.62, 101.62, 90.00 degrees
Element x y z (fractional)
Y 0.0000 0.0000 0.0000
Cd 0.8227 0.3227 0.6454
Cd 0.4231 0.4231 0.8463
Cd 0.5769 0.5769 0.1537
Cd 0.6773 0.1773 0.3546
Mg 0.2500 0.7500 0.5000

Calculated values
Total moment ... 0.000 μB per cell
DFT formation energy ... -0.03 eV per atom
Uncorrected energy ... -1.979 eV per atom

=====

The following is a DFT calculation (PBE) of a relaxed structure of YMg7Cd5.

Cell lengths 5.9004, 7.6515, 7.6515 Å; angles 81.60, 67.32, 67.32 degrees
Element x y z (fractional)
Cd 0.0029 0.0001 0.4936
Cd 0.7056 0.7944 0.7944
Cd 0.5034 0.0001 0.4936
Cd 0.5034 0.4936 0.0001
Cd 0.0029 0.4936 0.0001
Mg 0.5025 0.2091 0.7859
Mg 0.9994 0.3506 0.6507
Mg 0.3467 0.6533 0.6533
Mg 0.6480 0.3520 0.3520
Mg 0.9994 0.6507 0.3506
Mg 0.5025 0.7859 0.2091
Mg 0.2855 0.2145 0.2145
Y 0.9978 0.0022 0.0022

Calculated values
Total moment ... 0.000 μB per cell
DFT formation energy ... -0.13 eV per atom
Uncorrected energy ... -1.834 eV per atom

=====

The following is a DFT calculation (PBE) of a relaxed structure of Y4Mg3Cd.

Cell lengths 3.7940, 3.7940, 15.1119 Å; angles 90.00, 90.00, 90.00 degrees
Element x y z (fractional)
Y 0.0000 0.0000 0.1226
Y 0.0000 0.0000 0.8774
Y 0.0000 0.0000 0.3736
Y 0.0000 0.0000 0.6264
Mg 0.5000 0.5000 0.2495
Mg 0.5000 0.5000 0.7505
Mg 0.5000 0.5000 0.5000
Cd 0.5000 0.5000 0.0000

Calculated values
Total moment ... 0.002 μB per cell
DFT formation energy ... -0.17 eV per atom
Uncorrected energy ... -4.115 eV per atom

=====

The following is a DFT calculation (PBE) of a relaxed structure of YMg11Cd.

Cell lengths 5.9215, 7.7199, 7.7686 Å; angles 81.86, 67.60, 68.19 degrees
Element x y z (fractional)
Mg 0.6508 0.3516 0.3482
Mg 0.7105 0.7875 0.7898
Mg 0.0000 0.0000 0.5000
Mg 0.0010 0.6484 0.3482
Mg 0.3492 0.6484 0.6518
Mg 0.9990 0.3516 0.6518
Mg 0.0000 0.5000 0.0000
Mg 0.4998 0.2125 0.7898
Mg 0.5000 0.0000 0.5000
Mg 0.5002 0.7875 0.2102
Mg 0.2895 0.2125 0.2102
Cd 0.5000 0.5000 0.0000
Y 0.0000 0.0000 0.0000

Calculated values
Total moment ... 0.000 μB per cell
DFT formation energy ... -0.05 eV per atom
Uncorrected energy ... -1.967 eV per atom

=====

The following is a DFT calculation (PBE) of a relaxed structure of Y3MgCd.

Cell lengths 5.2228, 5.2234, 10.6442 Å; angles 90.00, 75.80, 90.00 degrees
Element x y z (fractional)
Cd 0.6659 0.7500 0.3165
Cd 0.9824 0.2500 0.6835
Mg 0.1692 0.2500 0.3099
Mg 0.4791 0.7500 0.6901
Y 0.3832 0.2500 0.8819
Y 0.0748 0.7500 0.4988
Y 0.5736 0.2500 0.5012
Y 0.8861 0.7500 0.8762
Y 0.7622 0.2500 0.1238
Y 0.2651 0.7500 0.1181

Calculated values
Total moment ... 0.001 μB per cell
DFT formation energy ... -0.17 eV per atom
Uncorrected energy ... -4.553 eV per atom

=====

The following is a DFT calculation (PBE) of a relaxed structure of Y2Mg5Cd4.

Cell lengths 6.1058, 6.4044, 8.8162 Å; angles 80.50, 69.74, 61.53 degrees
Element x y z (fractional)
Mg 0.0000 0.5000 0.0000
Mg 0.5000 0.5000 0.0000
Mg 0.5000 0.0000 0.0000
Mg 0.7500 0.5000 0.5000
Mg 0.2500 0.5000 0.5000
Cd 0.4909 0.7401 0.2780
Cd 0.7689 0.7401 0.7220
Cd 0.2311 0.2599 0.2780
Cd 0.5091 0.2599 0.7220
Y 0.8328 0.0000 0.3344
Y 0.1672 0.0000 0.6656

Calculated values
Total moment ... 0.000 μB per cell
DFT formation energy ... -0.02 eV per atom
Uncorrected energy ... -2.255 eV per atom

=====

The following is a DFT calculation (PBE) of a relaxed structure of Y3MgCd3.

Cell lengths 7.4235, 7.4235, 6.9596 Å; angles 88.52, 88.52, 88.91 degrees
Element x y z (fractional)
Mg 0.6356 0.6356 0.0708
Mg 0.3644 0.3644 0.9292
Cd 0.7409 0.2591 0.5000
Cd 0.2591 0.7409 0.5000
Cd 0.2505 0.7495 0.0000
Cd 0.6543 0.6543 0.4737
Cd 0.3457 0.3457 0.5263
Cd 0.7495 0.2505 0.0000
Y 0.9287 0.9287 0.2568
Y 0.0384 0.4449 0.2476
Y 0.5551 0.9616 0.7524
Y 0.9616 0.5551 0.7524
Y 0.0713 0.0713 0.7432
Y 0.4449 0.0384 0.2476

Calculated values
Total moment ... 0.000 μB per cell
DFT formation energy ... -0.16 eV per atom
Uncorrected energy ... -3.550 eV per atom